VASP calculation (PBE) on a relaxed Ce2Nd2Pt3 crystal.

Output
formation enthalpy at 0 K: -0.886 eV/atom
magnetization: 3.69 μB per cell
V: 27.74 A^3/atom
D(E_F): 2.17 states/eV per atom

a b c (Å): 14.7246 4.5295 5.9099
angles (deg): 90.00 99.85 90.00
With the nearest neighbours (Å) after each atom.
Space group C2/m (No. 12)
Unique sites:
Ce 0.1661 0.0000 0.3183 [4 per cell]  4 Pt 2.82-2.97
Nd 0.0909 0.5000 0.8039 [4 per cell]  5 Pt 2.97-3.13
Pt 0.0000 0.0000 0.0000 [2 per cell]  2 Ce 2.82, 4 Nd 2.97
Pt 0.2307 0.0000 0.8223 [4 per cell]  4 Ce 2.93-3.23, 3 Nd 3.05-3.13, 2 Pt 3.07

VASP calculation (PBE) on a relaxed LaAlHg crystal.

Output
formation enthalpy at 0 K: -0.342 eV/atom
magnetization: 0.00 μB per cell
V: 28.63 A^3/atom
D(E_F): 0.14 states/eV per atom

a b c (Å): 7.0042 7.0042 7.0042
angles (deg): 90.00 90.00 90.00
With the nearest neighbours (Å) after each atom.
Space group F-43m (No. 216)
Unique sites:
La 0.0000 0.0000 0.0000 [4 per cell]  4 Hg 3.03
Al 0.0000 0.0000 0.5000 [4 per cell]  4 Hg 3.03
Hg 0.2500 0.2500 0.7500 [4 per cell]  4 Al 3.03, 4 La 3.03

VASP calculation (PBE) on a relaxed Na2ZrBr2O2 crystal.

Output
magnetization: 0.00 μB per cell
V: 21.64 A^3/atom
D(E_F): 0.00 states/eV per atom
formation energy from raw total energies: -49.159 kcal/mol of atoms

a b c (Å): 4.1637 4.1637 17.4779
angles (deg): 90.00 90.00 90.00
With the nearest neighbours (Å) after each atom.
Space group I4/mmm (No. 139)
Unique sites:
Na 0.0000 0.0000 0.0993 [4 per cell]  4 O 2.71
Zr 0.0000 0.0000 0.5000 [2 per cell]  4 O 2.08
Br 0.0000 0.0000 0.3419 [4 per cell]  1 Zr 2.76
O 0.0000 0.5000 0.0000 [4 per cell]  2 Zr 2.08

VASP calculation (PBE) on a relaxed SrCdBiPd3 crystal.

Output
formation enthalpy at 0 K: -0.340 eV/atom
magnetization: 0.00 μB per cell
V: 23.59 A^3/atom
D(E_F): 0.60 states/eV per atom

a b c (Å): 6.6987 12.8920 6.5546
angles (deg): 90.00 90.00 90.00
With the nearest neighbours (Å) after each atom.
Space group Cmcm (No. 63)
Unique sites:
Sr 0.0000 0.1818 0.2500 [4 per cell]  1 Cd 3.18, 6 Pd 3.19-3.38, 2 Bi 3.32
Cd 0.0000 0.4288 0.2500 [4 per cell]  5 Pd 2.69-2.79
Bi 0.0000 0.1405 0.7500 [4 per cell]  5 Pd 2.77-2.83
Pd 0.0000 0.3550 0.7500 [4 per cell]  1 Bi 2.77, 1 Cd 2.79
Pd 0.2122 0.0000 0.0000 [8 per cell]  2 Cd 2.69, 2 Bi 2.83, 1 Pd 2.84

VASP calculation (PBE) on a relaxed KCa2GaO4 crystal.

Output
magnetization: 0.21 μB per cell
V: 15.25 A^3/atom
D(E_F): 0.00 states/eV per atom
formation energy from raw total energies: -54.326 kcal/mol of atoms

a b c (Å): 3.3555 12.1855 11.9339
angles (deg): 90.00 90.00 90.00
With the nearest neighbours (Å) after each atom.
Space group Cmcm (No. 63)
Unique sites:
K 0.0000 0.0907 0.2500 [4 per cell]  6 O 2.81-3.01
Ca 0.0000 0.3714 0.0339 [8 per cell]  5 O 2.31-2.45
Ga 0.0000 0.1776 0.7500 [4 per cell]  4 O 1.83-1.96
O 0.0000 0.0000 0.0000 [4 per cell]  4 Ca 2.33
O 0.0000 0.2515 0.6162 [8 per cell]  1 Ga 1.83
O 0.0000 0.4057 0.2500 [4 per cell]  2 Ga 1.96

VASP calculation (PBE) on a relaxed Ga2CoNi2 crystal.

Output
formation enthalpy at 0 K: -0.153 eV/atom
magnetization: 2.87 μB per cell
V: 12.65 A^3/atom
D(E_F): 0.56 states/eV per atom
energy relative to the lowest polymorph listed for this composition: 6 meV per atom

a b c (Å): 6.8618 6.8618 2.6858
angles (deg): 90.00 90.00 90.00
With the nearest neighbours (Å) after each atom.
Space group P4/mbm (No. 127)
Unique sites:
Ga 0.1545 0.3455 0.0000 [4 per cell]  6 Ni 2.37-2.45, 2 Co 2.60
Co 0.0000 0.0000 0.0000 [2 per cell]  4 Ga 2.60, 2 Co 2.69
Ni 0.1440 0.6440 0.5000 [4 per cell]  6 Ga 2.37-2.45

VASP calculation (PBE) on a relaxed RbSnTeN2 crystal.

Output
magnetization: 3.28 μB per cell
V: 25.36 A^3/atom
D(E_F): 0.35 states/eV per atom
formation energy from raw total energies: 23.214 kcal/mol of atoms
energy relative to the lowest polymorph listed for this composition: 0 meV per atom

a b c (Å): 4.6467 4.6467 5.8726
angles (deg): 90.00 90.00 90.00
With the nearest neighbours (Å) after each atom.
Space group P4/mmm (No. 123)
Unique sites:
Rb 0.0000 0.0000 0.0000 [1 per cell]  4 Te 3.29
Sn 0.5000 0.5000 0.5000 [1 per cell]  4 N 2.32
Te 0.5000 0.5000 0.0000 [1 per cell]  2 Sn 2.94, 4 Rb 3.29
N 0.0000 0.5000 0.5000 [2 per cell]  2 Sn 2.32

VASP calculation (PBE) on a relaxed PaTa12Nb6 crystal.

Output
formation enthalpy at 0 K: 0.326 eV/atom
magnetization: 0.00 μB per cell
V: 19.53 A^3/atom
D(E_F): 1.01 states/eV per atom

a b c (Å): 11.4173 11.4173 9.8629
angles (deg): 90.00 90.00 120.00
With the nearest neighbours (Å) after each atom.
Space group R-3m (No. 166, hexagonal axes)
Unique sites:
Pa 0.0000 0.0000 0.0000 [3 per cell]  6 Nb 2.88, 6 Ta 2.97
Ta 0.0000 0.2545 0.5000 [18 per cell]  4 Nb 2.81-3.09, 6 Ta 2.90-3.01
Ta 0.0858 0.1716 0.2466 [18 per cell]  6 Ta 2.90-3.01, 1 Pa 2.97, 3 Nb 3.08-3.19
Nb 0.0453 0.5226 0.6235 [18 per cell]  1 Nb 2.60, 2 Ta 2.81, 1 Pa 2.88

VASP calculation (PBE) on a relaxed Ac6GeBi2Te3 crystal.

Output
magnetization: 0.00 μB per cell
V: 38.54 A^3/atom
D(E_F): 0.26 states/eV per atom
formation energy from raw total energies: -29.221 kcal/mol of atoms

a b c (Å): 8.2977 14.3613 8.2394
angles (deg): 90.00 109.61 90.00
With the nearest neighbours (Å) after each atom.
Space group C2/m (No. 12)
Unique sites:
Ac 0.2364 0.0000 0.2613 [4 per cell]  1 Ge 3.21, 2 Bi 3.38, 3 Te 3.43-3.55
Ac 0.2371 0.1585 0.7366 [8 per cell]  1 Ge 3.21, 2 Bi 3.38, 3 Te 3.39-3.50
Ge 0.0000 0.0000 0.5000 [2 per cell]  6 Ac 3.21
Bi 0.0000 0.3340 0.5000 [4 per cell]  6 Ac 3.38
Te 0.0000 0.1719 0.0000 [4 per cell]  6 Ac 3.39-3.50
Te 0.0000 0.5000 0.0000 [2 per cell]  6 Ac 3.39-3.55

VASP calculation (PBE) on a relaxed TePdO4 crystal.

Output
magnetization: 0.00 μB per cell
V: 12.58 A^3/atom
D(E_F): 0.25 states/eV per atom
formation energy from raw total energies: -14.920 kcal/mol of atoms

a b c (Å): 4.9198 5.7825 10.6126
angles (deg): 90.00 90.00 90.00
With the nearest neighbours (Å) after each atom.
Space group Pbcn (No. 60)
Unique sites:
Te 0.0000 0.1855 0.2500 [4 per cell]  6 O 2.04-2.12
Pd 0.0000 0.5000 0.0000 [4 per cell]  6 O 2.09-2.14
O 0.2109 0.2277 0.0858 [8 per cell]  1 Te 2.04, 2 Pd 2.09-2.14
O 0.2195 0.4515 0.3331 [8 per cell]  2 Te 2.08-2.12, 1 Pd 2.09

VASP calculation (PBE) on a relaxed Sm5PtRh2 crystal.

Output
formation enthalpy at 0 K: -0.720 eV/atom
magnetization: 0.00 μB per cell
V: 25.16 A^3/atom
D(E_F): 1.01 states/eV per atom

a b c (Å): 7.6099 7.6099 13.9038
angles (deg): 90.00 90.00 90.00
With the nearest neighbours (Å) after each atom.
Space group I4/mcm (No. 140)
Unique sites:
Sm 0.0000 0.0000 0.0000 [4 per cell]  4 Rh 2.97
Sm 0.1695 0.3305 0.1414 [16 per cell]  3 Rh 2.90-3.04, 2 Pt 3.20
Pt 0.0000 0.0000 0.2500 [4 per cell]  10 Sm 3.20-3.48
Rh 0.1323 0.3677 0.5000 [8 per cell]  1 Rh 2.85, 8 Sm 2.90-3.04

VASP calculation (PBE) on a relaxed Cu3PtPb crystal.

Output
formation enthalpy at 0 K: 0.522 eV/atom
magnetization: 0.00 μB per cell
V: 21.38 A^3/atom
D(E_F): 0.32 states/eV per atom
energy relative to the lowest polymorph listed for this composition: 0 meV per atom

a b c (Å): 4.7461 4.7461 4.7461
angles (deg): 90.00 90.00 90.00
With the nearest neighbours (Å) after each atom.
Space group Pm-3m (No. 221)
Unique sites:
Cu 0.0000 0.0000 0.5000 [3 per cell]  2 Pt 2.37
Pt 0.0000 0.0000 0.0000 [1 per cell]  6 Cu 2.37
Pb 0.5000 0.5000 0.5000 [1 per cell]  12 Cu 3.36

VASP calculation (PBE) on a relaxed TiMnH4 crystal.

Output
magnetization: 0.00 μB per cell
V: 7.03 A^3/atom
D(E_F): 0.17 states/eV per atom
energy relative to the lowest polymorph listed for this composition: 70 meV per atom

a b c (Å): 4.8131 7.5790 5.1892
angles (deg): 90.00 117.02 90.00
With the nearest neighbours (Å) after each atom.
Space group C2/c (No. 15)
Unique sites:
Ti 0.0000 0.1237 0.2500 [4 per cell]  6 H 1.92-2.01
Mn 0.0000 0.4549 0.2500 [4 per cell]  6 H 1.61-1.80
H 0.0322 0.3579 0.5531 [8 per cell]  2 Mn 1.68-1.80
H 0.1407 0.0942 0.6569 [8 per cell]  1 Mn 1.61

VASP calculation (PBE) on a relaxed AcPrSb2Rh2 crystal.

Output
magnetization: 0.00 μB per cell
V: 25.80 A^3/atom
D(E_F): 1.15 states/eV per atom
formation energy from raw total energies: -21.117 kcal/mol of atoms

a b c (Å): 4.5473 4.5473 8.6455
angles (deg): 90.00 90.00 120.00
With the nearest neighbours (Å) after each atom.
Space group P-3m1 (No. 164)
Unique sites:
Ac 0.0000 0.0000 0.0000 [1 per cell]  6 Rh 3.43, 6 Sb 3.49
Pr 0.0000 0.0000 0.5000 [1 per cell]  6 Sb 3.32, 6 Rh 3.37
Sb 0.3333 0.6667 0.2657 [2 per cell]  3 Rh 2.63
Rh 0.3333 0.6667 0.7439 [2 per cell]  3 Sb 2.63

VASP calculation (PBE) on a relaxed CaCdRe2 crystal.

Output
formation enthalpy at 0 K: 0.691 eV/atom
magnetization: 0.00 μB per cell
V: 18.19 A^3/atom
D(E_F): 0.67 states/eV per atom

a b c (Å): 3.3007 4.4989 4.8991
angles (deg): 90.00 90.00 90.00
With the nearest neighbours (Å) after each atom.
Space group Pmmm (No. 47)
Unique sites:
Ca 0.0000 0.0000 0.0000 [1 per cell]  4 Cd 2.79, 4 Re 2.95
Cd 0.5000 0.5000 0.0000 [1 per cell]  4 Ca 2.79, 4 Re 2.95
Re 0.0000 0.5000 0.5000 [1 per cell]  4 Re 2.79, 4 Cd 2.95
Re 0.5000 0.0000 0.5000 [1 per cell]  4 Re 2.79, 4 Ca 2.95

VASP calculation (PBE) on a relaxed Pa2TiGa4 crystal.

Output
formation enthalpy at 0 K: 0.108 eV/atom
magnetization: 1.55 μB per cell
V: 23.25 A^3/atom
D(E_F): 1.39 states/eV per atom

a b c (Å): 4.6903 4.6903 14.7982
angles (deg): 90.00 90.00 90.00
With the nearest neighbours (Å) after each atom.
Space group I4/mmm (No. 139)
Unique sites:
Pa 0.0000 0.0000 0.1303 [4 per cell]  5 Ga 2.92-3.04
Ti 0.0000 0.0000 0.5000 [2 per cell]  6 Ga 2.35-2.55
Ga 0.0000 0.0000 0.3275 [4 per cell]  1 Ti 2.55
Ga 0.0000 0.5000 0.0000 [4 per cell]  2 Ti 2.35

VASP calculation (PBE) on a relaxed TiInAgAu2 crystal.

Output
formation enthalpy at 0 K: 0.828 eV/atom
magnetization: 0.09 μB per cell
V: 25.26 A^3/atom
D(E_F): 1.40 states/eV per atom

a b c (Å): 5.0368 5.0368 4.9778
angles (deg): 90.00 90.00 90.00
With the nearest neighbours (Å) after each atom.
Space group P4/mmm (No. 123)
Unique sites:
Ti 0.0000 0.0000 0.0000 [1 per cell]  8 Au 3.54, 4 In 3.56
In 0.5000 0.5000 0.0000 [1 per cell]  2 Ag 2.49
Ag 0.5000 0.5000 0.5000 [1 per cell]  2 In 2.49, 4 Au 2.52
Au 0.0000 0.5000 0.5000 [2 per cell]  2 Ag 2.52

VASP calculation (PBE) on a relaxed K3Ac2YTe6 crystal.

Output
magnetization: 0.00 μB per cell
V: 40.14 A^3/atom
D(E_F): 0.00 states/eV per atom
formation energy from raw total energies: -33.664 kcal/mol of atoms

a b c (Å): 8.1999 14.2049 8.7143
angles (deg): 90.00 108.38 90.00
With the nearest neighbours (Å) after each atom.
Space group C2/m (No. 12)
Unique sites:
K 0.0000 0.0000 0.0000 [2 per cell]  6 Te 3.54-3.71
K 0.0000 0.3300 0.0000 [4 per cell]  6 Te 3.55-3.67
Ac 0.0000 0.1662 0.5000 [4 per cell]  6 Te 3.33-3.34
Y 0.0000 0.5000 0.5000 [2 per cell]  6 Te 3.15
Te 0.2304 0.3420 0.7175 [8 per cell]  1 Y 3.15, 2 Ac 3.34
Te 0.2424 0.5000 0.2823 [4 per cell]  1 Y 3.15, 2 Ac 3.33

VASP calculation (PBE) on a relaxed CaPm8Tm3 crystal.

Output
formation enthalpy at 0 K: 0.029 eV/atom
magnetization: 0.00 μB per cell
V: 33.70 A^3/atom
D(E_F): 1.32 states/eV per atom

a b c (Å): 6.3115 7.3114 9.0186
angles (deg): 78.21 83.25 89.97
With the nearest neighbours (Å) after each atom.
Space group P1 (No. 1)
Unique sites:
Ca 0.0000 0.0000 0.0000 [1 per cell]  10 Pm 3.61-3.69, 2 Tm 3.66-3.68
Pm 0.1103 0.1704 0.3397 [1 per cell]  9 Pm 3.53-3.73, 2 Tm 3.64, 1 Ca 3.67
Pm 0.1127 0.6634 0.3326 [1 per cell]  7 Pm 3.55-3.72, 4 Tm 3.59-3.63, 1 Ca 3.61
Pm 0.2190 0.8307 0.6641 [1 per cell]  8 Pm 3.55-3.71, 3 Tm 3.62-3.65, 1 Ca 3.63
Pm 0.2232 0.3386 0.6624 [1 per cell]  8 Pm 3.53-3.71, 3 Tm 3.59-3.64, 1 Ca 3.65
Pm 0.4985 0.2594 0.9969 [1 per cell]  4 Tm 3.54-3.77, 6 Pm 3.60-3.67, 2 Ca 3.67-3.69
Pm 0.6022 0.9135 0.3354 [1 per cell]  7 Pm 3.55-3.73, 4 Tm 3.58-3.70, 1 Ca 3.65
Pm 0.7142 0.0850 0.6635 [1 per cell]  7 Pm 3.57-3.71, 4 Tm 3.60-3.66, 1 Ca 3.66
Pm 0.9933 0.5017 0.0001 [1 per cell]  4 Tm 3.55-3.64, 6 Pm 3.60-3.65, 2 Ca 3.64-3.67
Tm 0.4985 0.7436 0.9990 [1 per cell]  8 Pm 3.54-3.77, 2 Tm 3.54-3.59, 2 Ca 3.66-3.68
Tm 0.6112 0.4210 0.3292 [1 per cell]  2 Tm 3.54-3.61, 10 Pm 3.55-3.70
Tm 0.7214 0.5835 0.6653 [1 per cell]  10 Pm 3.56-3.66, 2 Tm 3.59-3.61

VASP calculation (PBE) on a relaxed ScTcNi crystal.

Output
formation enthalpy at 0 K: -0.024 eV/atom
magnetization: 0.33 μB per cell
V: 15.45 A^3/atom
D(E_F): 1.87 states/eV per atom
energy relative to the lowest polymorph listed for this composition: 335 meV per atom

a b c (Å): 3.1802 3.1802 9.1669
angles (deg): 90.00 90.00 90.00
With the nearest neighbours (Å) after each atom.
Space group I4mm (No. 107)
Unique sites:
Sc 0.0000 0.0000 0.0000 [2 per cell]  5 Ni 2.80-2.91, 5 Tc 2.82-2.88
Tc 0.0000 0.0000 0.3145 [2 per cell]  4 Ni 2.56, 4 Sc 2.82
Ni 0.0000 0.0000 0.6820 [2 per cell]  4 Tc 2.56, 4 Sc 2.80

VASP calculation (PBE) on a relaxed K3TiW crystal.

Output
formation enthalpy at 0 K: 2.209 eV/atom
magnetization: 9.00 μB per cell
V: 55.63 A^3/atom
D(E_F): 1.29 states/eV per atom
energy relative to the lowest polymorph listed for this composition: 0 meV per atom

a b c (Å): 6.5277 6.5277 6.5277
angles (deg): 90.00 90.00 90.00
With the nearest neighbours (Å) after each atom.
Space group Pm-3m (No. 221)
Unique sites:
K 0.0000 0.0000 0.5000 [3 per cell]  2 Ti 3.26
Ti 0.0000 0.0000 0.0000 [1 per cell]  6 K 3.26
W 0.5000 0.5000 0.5000 [1 per cell]  12 K 4.62

VASP calculation (PBE) on a relaxed MgPd15Pb4 crystal.

Output
formation enthalpy at 0 K: -0.322 eV/atom
magnetization: 0.00 μB per cell
V: 17.00 A^3/atom
D(E_F): 0.56 states/eV per atom

a b c (Å): 4.0860 4.0860 20.3688
angles (deg): 90.00 90.00 90.00
With the nearest neighbours (Å) after each atom.
Space group P4/mmm (No. 123)
Unique sites:
Mg 0.0000 0.0000 0.0000 [1 per cell]  12 Pd 2.80-2.89
Pd 0.0000 0.5000 0.0942 [4 per cell]  2 Mg 2.80, 8 Pd 2.80-2.92, 2 Pb 2.89
Pd 0.0000 0.5000 0.2971 [4 per cell]  8 Pd 2.89-2.91, 4 Pb 2.90-2.92
Pd 0.0000 0.5000 0.5000 [2 per cell]  8 Pd 2.89-2.90, 4 Pb 2.91
Pd 0.5000 0.5000 0.0000 [1 per cell]  8 Pd 2.80, 4 Mg 2.89
Pd 0.5000 0.5000 0.1966 [2 per cell]  4 Pb 2.89, 8 Pd 2.89-2.92
Pd 0.5000 0.5000 0.3987 [2 per cell]  4 Pb 2.89, 8 Pd 2.90-2.91
Pb 0.0000 0.0000 0.1946 [2 per cell]  12 Pd 2.89-2.92
Pb 0.0000 0.0000 0.3982 [2 per cell]  12 Pd 2.89-2.91